Computed, not measured: YCr2OsRu after structural relaxation at the PBE level of DFT.

abc: 4.6480 4.6492 4.6480
angles: 90.00 90.00 90.00
Last column: magnetic moment on the atom in μB.
Atoms (fractional coordinates):
Y  0.0000  0.0000  0.0000  0.05
Ru  0.0000  0.5000  0.0000  -0.21
Os  0.5000  0.5000  0.5000  -1.74
Cr  0.0000  0.0000  0.5000  2.90
Cr  0.5000  0.0000  0.0000  3.13

Properties
Total magnetization   4.341 μB per formula unit
Uncorrected energy   -0.493 Ry/atom
DOS at the Fermi energy   1.754 states/eV per atom
Polymorph energy (0 for the lowest one)   1023.6 meV per atom
Formation energy   2.53 eV/atom